A relaxed structure of CaRhCl. Source: Alexandria via LeMat-Bulk, functional PBE.

Results
Crystal system: cubic
E, eV per atom: -3.840
Raw formation energy, kcal/mol of atoms: -2.47
E above lowest polymorph, eV per formula unit: 3.20

Cell: 6.571 6.571 6.571 Å, 90.00 90.00 90.00°
Space group F-43m (No. 216)
Asymmetric unit:
Ca  0.000  0.000  0.000 x4
Rh  0.250  0.250  0.250 x4
Cl  0.250  0.250  0.750 x4

***

A relaxed structure of CaScOs2. Source: Alexandria via LeMat-Bulk, functional PBE.

Results
Crystal system: orthorhombic
E, eV per atom: -7.321
Energy of formation, meV/atom: 377
E above lowest polymorph, eV per formula unit: 1.05

Cell: 3.203 4.509 4.843 Å, 90.00 90.00 90.00°
Space group Pmmm (No. 47)
Asymmetric unit:
Ca  0.000  0.000  0.000 x1
Sc  0.500  0.000  0.500 x1
Os  0.000  0.500  0.500 x1
Os  0.500  0.500  0.000 x1

***

A relaxed structure of Ho7IrI12. Source: Alexandria via LeMat-Bulk, functional PBE.

Results
Crystal system: trigonal
E, eV per atom: -4.230
Raw formation energy, kcal/mol of atoms: -28.93

Cell: 15.7162 15.7162 10.9800 Å, 90.00 90.00 120.00°
Space group R-3 (No. 148, hexagonal axes)
Asymmetric unit:
Ho  0.0000  0.0000  0.0000 x3
Ho  0.0425  0.1577  0.3639 x18
Ir  0.0000  0.0000  0.5000 x3
I  0.0185  0.5860  0.1557 x18
I  0.0486  0.1741  0.8374 x18

***

A relaxed structure of MgFePt4. Source: Alexandria via LeMat-Bulk, functional PBE.

Results
Crystal system: cubic
E, eV per atom: -5.846
Energy of formation, meV/atom: -143

Cell: 7.432 7.432 7.432 Å, 90.00 90.00 90.00°
Space group F-43m (No. 216)
Asymmetric unit:
Mg  0.000  0.000  0.000 x4
Fe  0.250  0.250  0.250 x4
Pt  0.125  0.125  0.625 x16

***

A relaxed structure of CaZrNp2As4. Source: Alexandria via LeMat-Bulk, functional PBE.

Results
Crystal system: tetragonal
E, eV per atom: -7.757
Energy of formation, meV/atom: -878

Cell: 5.734 5.734 11.488 Å, 90.00 90.00 90.00°
Space group I-4m2 (No. 119)
Asymmetric unit:
Ca  0.000  0.000  0.000 x2
Zr  0.000  0.500  0.750 x2
Np  0.000  0.000  0.500 x2
Np  0.000  0.500  0.250 x2
As  0.000  0.000  0.255 x4
As  0.000  0.500  0.505 x4

***

A relaxed structure of ThNb2Mo. Source: Alexandria via LeMat-Bulk, functional PBE.

Results
Crystal system: tetragonal
E, eV per atom: -9.464
Energy of formation, meV/atom: 134

Cell: 3.284 3.284 7.772 Å, 90.00 90.00 90.00°
Space group P4/mmm (No. 123)
Asymmetric unit:
Th  0.000  0.000  0.000 x1
Nb  0.500  0.500  0.303 x2
Mo  0.000  0.000  0.500 x1

***

A relaxed structure of Sc2Ag2Bi. Source: Alexandria via LeMat-Bulk, functional PBE.

Results
Crystal system: tetragonal
E, eV per atom: -4.490
Energy of formation, meV/atom: -41
E above lowest polymorph, eV per formula unit: 1.14

Cell: 4.607 4.607 11.483 Å, 90.00 90.00 90.00°
Space group I4/mmm (No. 139)
Asymmetric unit:
Sc  0.000  0.500  0.250 x4
Ag  0.000  0.000  0.114 x4
Bi  0.000  0.000  0.500 x2

***

A relaxed structure of Y2Ag2AuO6. Source: Alexandria via LeMat-Bulk, functional PBE.

Results
Crystal system: monoclinic
E, eV per atom: -6.199
Raw formation energy, kcal/mol of atoms: -34.65

Cell: 5.872 10.518 6.358 Å, 90.00 98.57 90.00°
Space group C2/m (No. 12)
Asymmetric unit:
Y  0.000  0.161  0.000 x4
Ag  0.000  0.342  0.500 x4
Au  0.000  0.500  0.000 x2
O  0.129  0.335  0.823 x8
O  0.168  0.000  0.846 x4

***

A relaxed structure of Re3Sn. Source: Alexandria via LeMat-Bulk, functional PBE.

Results
Crystal system: hexagonal
E, eV per atom: -9.778
Energy of formation, meV/atom: 559

Cell: 5.6949 5.6949 4.6006 Å, 90.00 90.00 120.00°
Space group P6_3/mmc (No. 194)
Asymmetric unit:
Re  0.1658  0.3316  0.2500 x6
Sn  0.3333  0.6667  0.7500 x2

***

A relaxed structure of YAuI2O. Source: Alexandria via LeMat-Bulk, functional PBE.

Results
Crystal system: tetragonal
E, eV per atom: -4.445
Raw formation energy, kcal/mol of atoms: -20.41
E above lowest polymorph, eV per formula unit: 0.00

Cell: 6.154 6.154 4.142 Å, 90.00 90.00 90.00°
Space group P4/mmm (No. 123)
Asymmetric unit:
Y  0.000  0.000  0.000 x1
Au  0.500  0.500  0.500 x1
I  0.000  0.500  0.000 x2
O  0.000  0.000  0.500 x1

***

A relaxed structure of K3Na2AgI6. Source: Alexandria via LeMat-Bulk, functional PBE.

Results
Crystal system: monoclinic
E, eV per atom: -2.672
Raw formation energy, kcal/mol of atoms: -26.88

Cell: 8.179 14.420 8.341 Å, 90.00 108.66 90.00°
Space group C2/m (No. 12)
Asymmetric unit:
K  0.000  0.000  0.000 x2
K  0.000  0.332  0.000 x4
Na  0.000  0.168  0.500 x4
Ag  0.000  0.500  0.500 x2
I  0.240  0.337  0.723 x8
I  0.243  0.500  0.287 x4

***

A relaxed structure of BaNpTeO2. Source: Alexandria via LeMat-Bulk, functional PBE.

Results
Crystal system: tetragonal
E, eV per atom: -7.908
Raw formation energy, kcal/mol of atoms: -53.58

Cell: 4.402 4.402 6.585 Å, 90.00 90.00 90.00°
Space group P4mm (No. 99)
Asymmetric unit:
Ba  0.000  0.000  0.000 x1
Np  0.500  0.500  0.323 x1
Te  0.500  0.500  0.794 x1
O  0.000  0.500  0.270 x2

***

Number 1: volume 23.65 A^3/atom. Number 2: volume 17.49 A^3/atom. Number 3: volume 39.14 A^3/atom. Number 4: volume 17.11 A^3/atom. Number 5: volume 23.61 A^3/atom. Number 6: volume 20.96 A^3/atom. Number 7: volume 24.37 A^3/atom. Number 8: volume 17.65 A^3/atom. Number 9: volume 16.15 A^3/atom. Number 10: volume 31.37 A^3/atom. Number 11: volume 38.84 A^3/atom. Number 12: volume 25.52 A^3/atom.